# 1
Computed, not measured: a geometry-optimized RbHgBi structure at the GGA-PBE level of DFT.

Lattice parameters (Å, degrees): 5.9553 8.4496 9.9850 90.00 90.05 90.00
Last column: nearest neighbours and their distance in Å.
Sites, in units of the cell vectors:
Rb 0.9999 0.1602 0.1719  4 Hg 3.90-3.93, 6 Bi 3.94-4.13
Rb 0.9999 0.3398 0.6719  4 Hg 3.90-3.93, 6 Bi 3.94-4.13
Rb 0.0001 0.6602 0.3281  4 Hg 3.90-3.93, 6 Bi 3.94-4.13
Rb 0.0001 0.8398 0.8281  4 Hg 3.90-3.93, 6 Bi 3.94-4.13
Hg 0.4990 0.0440 0.6379  1 Hg 2.85, 1 Bi 2.92
Hg 0.4990 0.4560 0.1379  1 Hg 2.85, 1 Bi 2.92
Hg 0.5010 0.5440 0.8621  1 Hg 2.85, 1 Bi 2.92
Hg 0.5010 0.9560 0.3621  1 Hg 2.85, 1 Bi 2.92
Bi 0.4995 0.1595 0.9135  1 Hg 2.92, 1 Bi 3.20
Bi 0.4995 0.3405 0.4135  1 Hg 2.92, 1 Bi 3.20
Bi 0.5005 0.6595 0.5865  1 Hg 2.92, 1 Bi 3.20
Bi 0.5005 0.8405 0.0865  1 Hg 2.92, 1 Bi 3.20

Output
- Formation energy from the elements: -0.274 eV per atom
- Total magnetic moment: 0.0 μB per formula unit

=====

# 2
Computed, not measured: a geometry-optimized La5Dy2Tl structure at the GGA-PBE level of DFT.

Lattice parameters (Å, degrees): 8.9192 8.9192 8.9192 157.20 99.96 84.56
Last column: nearest neighbours and their distance in Å.
Sites, in units of the cell vectors:
La 0.0000 0.0000 0.0000  10 La 3.53-3.64, 2 Dy 3.55
La 0.1107 0.3740 0.7367  1 Dy 3.32, 5 La 3.32-3.64
La 0.3626 0.6260 0.7367  1 Dy 3.32, 5 La 3.32-3.64
La 0.6374 0.3740 0.2633  1 Dy 3.32, 5 La 3.32-3.64
La 0.8893 0.6260 0.2633  1 Dy 3.32, 5 La 3.32-3.64
Dy 0.2693 0.2693 0.0000  3 La 3.32-3.55, 2 Tl 3.52, 2 Dy 3.53
Dy 0.7307 0.7307 0.0000  3 La 3.32-3.55, 2 Tl 3.52, 2 Dy 3.53
Tl 0.5000 0.0000 0.5000  4 Dy 3.52, 2 Tl 3.53, 8 La 3.87

Output
- Formation energy from the elements: -0.016 eV per atom
- Total magnetic moment: 0.0 μB per formula unit